Compound: Ga2PbAu5
Source: the Alexandria database
Functional: PBE
Structure: optimized geometry

Output
SG = Immm
magnetic moment = 0.00 μB/f.u.
formation energy from the elements = -0.106 eV/atom
crystal system = orthorhombic

abc: 3.9402 6.9073 6.9073
angles: 66.64 73.43 73.43
Sites, in units of the cell vectors:
Au  0.0000  0.5000  0.5000
Au  0.6397  0.1540  0.5667
Au  0.3603  0.4333  0.8460
Pb  0.0000  0.0000  0.0000
Ga  0.2462  0.2538  0.2538
Ga  0.7538  0.7462  0.7462
Au  0.6397  0.5667  0.1540
Au  0.3603  0.8460  0.4333

Compound: Ga2PbAu
Source: the Alexandria database
Functional: PBE
Structure: optimized geometry

Output
SG = P4/mmm
magnetic moment = 0.00 μB/f.u.
formation energy from the elements = -0.035 eV/atom
crystal system = tetragonal

abc: 3.5153 3.5153 7.0943
angles: 90.00 90.00 90.00
Sites, in units of the cell vectors:
Ga  0.0000  0.0000  0.2022
Au  0.5000  0.5000  0.0000
Pb  0.5000  0.5000  0.5000
Ga  0.0000  0.0000  0.7978

Compound: Ga2PbAu
Source: the Alexandria database
Functional: PBE
Structure: optimized geometry

Output
SG = R-3m
magnetic moment = 0.00 μB/f.u.
formation energy from the elements = -0.071 eV/atom
crystal system = trigonal

abc: 4.2968 4.2968 6.2672
angles: 69.95 69.95 60.00
Sites, in units of the cell vectors:
Pb  0.0000  0.0000  0.0000
Ga  0.2217  0.2217  0.3350
Ga  0.7783  0.7783  0.6650
Au  0.5000  0.5000  0.5000

Q: Look up the magnetic moment of the second one.
A: 0.00 μB/f.u.

Q: Number 1 is which compound?
A: Ga2PbAu5

Q: Which of these has the highest formation energy from the elements?
A: number 2